Entry 1:
BaNiMo | PBE | optimized geometry

spin magnetization: 0.00 μB per formula unit
total energy: -5.6385 eV/atom
distance to the lowest polymorph of the same formula: 229.5 meV per atom
crystal system: monoclinic
space-group type: Cm (8)
Fermi-level density of states: 2.89 states/eV/f.u.

a = 5.886 Å, b = 5.922 Å, c = 5.922 Å
α = 64.75°, β = 93.34°, γ = 129.46°
Sites, in units of the cell vectors:
Ni: 0.032 0.647 0.081
Ni: 0.033 0.103 0.625
Mo: 0.646 0.706 0.071
Mo: 0.117 0.261 0.155
Ba: 0.406 0.863 0.467
Ba: 0.644 0.365 0.731

Entry 2:
BaNiMo4 | PBE | optimized geometry

spin magnetization: 0.00 μB per formula unit
total energy: -7.5032 eV/atom
crystal system: cubic
space-group type: F-43m (216)
Fermi-level density of states: 7.02 states/eV/f.u.

a = 5.450 Å, b = 5.450 Å, c = 5.450 Å
α = 60.00°, β = 60.00°, γ = 60.00°
Sites, in units of the cell vectors:
Ba: 0.000 0.000 0.000
Ni: 0.750 0.750 0.750
Mo: 0.872 0.376 0.376
Mo: 0.376 0.376 0.872
Mo: 0.376 0.872 0.376
Mo: 0.376 0.376 0.376

Entry 3:
Ba2NiMo | PBE | optimized geometry

spin magnetization: 4.09 μB per formula unit
total energy: -4.0961 eV/atom
distance to the lowest polymorph of the same formula: 429.3 meV per atom
crystal system: cubic
space-group type: Fm-3m (225)
Fermi-level density of states: 3.25 states/eV/f.u.

a = 5.592 Å, b = 5.592 Å, c = 5.592 Å
α = 60.00°, β = 60.00°, γ = 60.00°
Last column: magnetic moment on the atom in μB.
Sites, in units of the cell vectors:
Ni: 0.000 0.000 0.000  0.62
Mo: 0.500 0.500 0.500  3.01
Ba: 0.250 0.250 0.250  0.01
Ba: 0.750 0.750 0.750  0.01

Entry 4:
BaNiMo | PBE | optimized geometry

spin magnetization: 0.00 μB per formula unit
total energy: -5.7006 eV/atom
distance to the lowest polymorph of the same formula: 167.4 meV per atom
crystal system: orthorhombic
space-group type: Pnma (62)
Fermi-level density of states: 2.64 states/eV/f.u.

a = 8.116 Å, b = 3.564 Å, c = 10.376 Å
α = 90.00°, β = 90.00°, γ = 90.00°
Sites, in units of the cell vectors:
Ni: 0.221 0.250 0.394
Ni: 0.279 0.750 0.894
Ni: 0.779 0.750 0.606
Ni: 0.721 0.250 0.106
Mo: 0.901 0.250 0.470
Mo: 0.599 0.750 0.970
Mo: 0.099 0.750 0.530
Mo: 0.401 0.250 0.030
Ba: 0.945 0.250 0.822
Ba: 0.555 0.750 0.322
Ba: 0.055 0.750 0.178
Ba: 0.445 0.250 0.678

Entry 5:
BaNiMo | PBE | optimized geometry

spin magnetization: 0.00 μB per formula unit
total energy: -5.8545 eV/atom
distance to the lowest polymorph of the same formula: 13.5 meV per atom
crystal system: triclinic
space-group type: P1 (1)
Fermi-level density of states: 1.00 states/eV/f.u.

a = 4.274 Å, b = 4.269 Å, c = 11.161 Å
α = 100.10°, β = 100.23°, γ = 59.67°
Sites, in units of the cell vectors:
Ni: 0.007 0.978 0.137
Ni: 0.935 0.909 0.907
Mo: 0.305 0.277 0.021
Mo: 0.638 0.610 0.022
Ba: 0.398 0.366 0.322
Ba: 0.209 0.184 0.721

Entry 6:
BaNiMo2 | PBE | optimized geometry

spin magnetization: 0.56 μB per formula unit
total energy: -6.0958 eV/atom
distance to the lowest polymorph of the same formula: 707.6 meV per atom
crystal system: tetragonal
space-group type: I4/mmm (139)
Fermi-level density of states: 5.47 states/eV/f.u.

a = 6.185 Å, b = 6.185 Å, c = 6.185 Å
α = 143.82°, β = 143.82°, γ = 52.10°
Last column: magnetic moment on the atom in μB.
Sites, in units of the cell vectors:
Ba: 0.750 0.250 0.500  0.01
Mo: 0.000 0.000 0.000  0.19
Mo: 0.500 0.500 0.000  0.19
Ni: 0.250 0.750 0.500  0.10

In the order shown, the computed ΔH_f (0 K) values come out to 0.540; 1.002; 1.018; 0.478; 0.324; 1.246 eV/atom.